# 1
Here is K2ReAg after structural relaxation from Alexandria. Energies are from PBE.

Polymorph energy (0 for the lowest one): 236.4 meV/atom
E_tot: -0.116 hartree per atom
Formation enthalpy at 0 K: 1219 meV per atom

a = 6.212 Å, b = 11.137 Å, c = 2.775 Å
α = 90.00°, β = 90.00°, γ = 90.00°
Space group Cmmm (No. 65)
Unique sites:
K  0.250  0.250  0.000 x4
Re  0.000  0.000  0.500 x2
Ag  0.000  0.500  0.500 x2

---

# 2
Here is LaMn2IrOs after structural relaxation from Alexandria. Energies are from PBE.

E_tot: -0.280 hartree per atom
Formation enthalpy at 0 K: 1048 meV per atom

a = 4.542 Å, b = 4.542 Å, c = 5.602 Å
α = 90.00°, β = 90.00°, γ = 90.00°
Space group P4/mmm (No. 123)
Unique sites:
La  0.000  0.000  0.000 x1
Mn  0.000  0.500  0.500 x2
Ir  0.500  0.500  0.000 x1
Os  0.000  0.000  0.500 x1

---

# 3
Here is FeCu4Os after structural relaxation from Alexandria. Energies are from PBE.

E_tot: -0.208 hartree per atom
Formation enthalpy at 0 K: 355 meV per atom

a = 6.679 Å, b = 6.679 Å, c = 6.679 Å
α = 90.00°, β = 90.00°, γ = 90.00°
Space group F-43m (No. 216)
Unique sites:
Fe  0.000  0.000  0.000 x4
Cu  0.125  0.125  0.375 x16
Os  0.250  0.250  0.750 x4

---

# 4
Here is BaZnHgBr4 after structural relaxation from Alexandria. Energies are from PBE.

Uncorrected formation energy: -1.273 eV per atom
E_tot: -0.100 hartree per atom

a = 16.665 Å, b = 7.930 Å, c = 8.655 Å
α = 90.00°, β = 112.58°, γ = 90.00°
Space group C2/m (No. 12)
Unique sites:
Ba  0.178  0.000  0.256 x4
Zn  0.164  0.000  0.752 x4
Hg  0.042  0.500  0.203 x4
Br  0.044  0.000  0.849 x4
Br  0.154  0.239  0.566 x8
Br  0.208  0.500  0.992 x4

---

# 5
Here is BaPd2Au6 after structural relaxation from Alexandria. Energies are from PBE.

E_tot: -0.134 hartree per atom
Formation enthalpy at 0 K: -102 meV per atom

a = 5.5081 Å, b = 5.5081 Å, c = 8.6212 Å
α = 90.00°, β = 90.00°, γ = 120.00°
Space group P6/mmm (No. 191)
Unique sites:
Ba  0.0000  0.0000  0.0000 x1
Pd  0.3333  0.6667  0.5000 x2
Au  0.0000  0.5000  0.2357 x6

---

# 6
Here is Rb2Cu2PS6 after structural relaxation from Alexandria. Energies are from PBE.

Uncorrected formation energy: -0.275 eV per atom
E_tot: -0.145 hartree per atom

a = 6.7284 Å, b = 6.7284 Å, c = 20.8380 Å
α = 90.00°, β = 90.00°, γ = 120.00°
Space group R-3m (No. 166, hexagonal axes)
Unique sites:
Rb  0.0000  0.0000  0.2176 x6
Cu  0.0000  0.0000  0.3845 x6
P  0.0000  0.0000  0.0000 x3
S  0.0358  0.5179  0.7361 x18

---

# 7
Here is SiAgIr after structural relaxation from Alexandria. Energies are from PBE.

Uncorrected formation energy: -0.079 eV per atom
Polymorph energy (0 for the lowest one): 36.5 meV/atom
E_tot: -0.213 hartree per atom

a = 2.968 Å, b = 3.044 Å, c = 10.300 Å
α = 90.00°, β = 90.00°, γ = 90.00°
Space group Imm2 (No. 44)
Unique sites:
Si  0.000  0.000  0.000 x2
Ag  0.000  0.000  0.320 x2
Ir  0.000  0.000  0.614 x2

---

# 8
Here is Rb2ScF5 after structural relaxation from Alexandria. Energies are from PBE.

Uncorrected formation energy: -3.430 eV per atom
Polymorph energy (0 for the lowest one): 0.0 meV/atom
E_tot: -0.207 hartree per atom

a = 7.892 Å, b = 6.025 Å, c = 12.355 Å
α = 90.00°, β = 90.00°, γ = 90.00°
Space group Pnma (No. 62)
Unique sites:
Rb  0.008  0.250  0.230 x4
Rb  0.155  0.750  0.413 x4
Sc  0.167  0.750  0.062 x4
F  0.000  0.000  0.000 x4
F  0.023  0.750  0.194 x4
F  0.182  0.009  0.613 x8
F  0.226  0.250  0.411 x4

---

# 9
Here is CePrNd2Dy after structural relaxation from Alexandria. Energies are from PBE.

E_tot: -0.173 hartree per atom
Formation enthalpy at 0 K: 269 meV per atom

a = 8.500 Å, b = 6.438 Å, c = 6.271 Å
α = 90.00°, β = 91.70°, γ = 90.00°
Space group P2/c (No. 13)
Unique sites:
Ce  0.000  0.046  0.250 x2
Pr  0.000  0.500  0.000 x2
Nd  0.307  0.191  0.741 x4
Dy  0.500  0.328  0.250 x2

---

# 10
Here is Mg2AgAu2 after structural relaxation from Alexandria. Energies are from PBE.

Polymorph energy (0 for the lowest one): 222.0 meV/atom
E_tot: -0.100 hartree per atom
Formation enthalpy at 0 K: -205 meV per atom

a = 4.106 Å, b = 4.106 Å, c = 12.219 Å
α = 90.00°, β = 90.00°, γ = 90.00°
Space group I4/mmm (No. 139)
Unique sites:
Mg  0.000  0.500  0.250 x4
Ag  0.000  0.000  0.000 x2
Au  0.000  0.000  0.391 x4

---

# 11
Here is MgHgGe after structural relaxation from Alexandria. Energies are from PBE.

E_tot: -0.081 hartree per atom
Formation enthalpy at 0 K: -32 meV per atom

a = 4.154 Å, b = 14.306 Å, c = 4.351 Å
α = 90.00°, β = 90.00°, γ = 90.00°
Space group Cmmm (No. 65)
Unique sites:
Mg  0.000  0.162  0.000 x4
Hg  0.000  0.000  0.500 x2
Hg  0.000  0.500  0.000 x2
Ge  0.000  0.313  0.500 x4

---

# 12
Here is Ca2CdOsN after structural relaxation from Alexandria. Energies are from PBE.

Uncorrected formation energy: -0.427 eV per atom
E_tot: -0.196 hartree per atom

a = 5.119 Å, b = 5.119 Å, c = 3.823 Å
α = 90.00°, β = 90.00°, γ = 90.00°
Space group P4/mmm (No. 123)
Unique sites:
Ca  0.000  0.500  0.000 x2
Cd  0.000  0.000  0.500 x1
Os  0.500  0.500  0.500 x1
N  0.500  0.500  0.000 x1

---

# 13
Here is Ho2ZrZn after structural relaxation from Alexandria. Energies are from PBE.

Polymorph energy (0 for the lowest one): 135.3 meV/atom
E_tot: -0.174 hartree per atom
Formation enthalpy at 0 K: 2 meV per atom

a = 4.604 Å, b = 4.604 Å, c = 4.524 Å
α = 90.00°, β = 90.00°, γ = 90.00°
Space group P4/mmm (No. 123)
Unique sites:
Ho  0.000  0.500  0.000 x2
Zr  0.000  0.000  0.500 x1
Zn  0.500  0.500  0.500 x1

---

# 14
Here is YPu6Se8 after structural relaxation from Alexandria. Energies are from PBE.

Uncorrected formation energy: -1.592 eV per atom
E_tot: -0.353 hartree per atom

a = 11.727 Å, b = 11.727 Å, c = 11.727 Å
α = 90.00°, β = 90.00°, γ = 90.00°
Space group Fm-3m (No. 225)
Unique sites:
Y  0.000  0.000  0.000 x4
Pu  0.000  0.250  0.250 x24
Se  0.000  0.000  0.248 x24
Se  0.250  0.250  0.250 x8

---

# 15
Here is La3Sb5O12 after structural relaxation from Alexandria. Energies are from PBE.

Uncorrected formation energy: -2.223 eV per atom
E_tot: -0.256 hartree per atom

a = 11.285 Å, b = 11.285 Å, c = 11.285 Å
α = 90.00°, β = 90.00°, γ = 90.00°
Space group I-43m (No. 217)
Unique sites:
La  0.000  0.250  0.500 x12
Sb  0.000  0.000  0.281 x12
Sb  0.250  0.250  0.250 x8
O  0.098  0.098  0.390 x24
O  0.137  0.137  0.668 x24

---

# 16
Here is Pm3Ho2Mg2 after structural relaxation from Alexandria. Energies are from PBE.

E_tot: -0.138 hartree per atom
Formation enthalpy at 0 K: 39 meV per atom

a = 5.313 Å, b = 23.368 Å, c = 3.483 Å
α = 90.00°, β = 90.00°, γ = 90.00°
Space group Cmmm (No. 65)
Unique sites:
Pm  0.000  0.000  0.000 x2
Pm  0.000  0.150  0.000 x4
Ho  0.000  0.288  0.500 x4
Mg  0.000  0.431  0.500 x4

---

# 17
Here is HoTlAgPt after structural relaxation from Alexandria. Energies are from PBE.

E_tot: -0.163 hartree per atom
Formation enthalpy at 0 K: -488 meV per atom

a = 6.935 Å, b = 6.935 Å, c = 6.935 Å
α = 90.00°, β = 90.00°, γ = 90.00°
Space group F-43m (No. 216)
Unique sites:
Ho  0.000  0.000  0.000 x4
Tl  0.000  0.000  0.500 x4
Ag  0.250  0.250  0.250 x4
Pt  0.250  0.250  0.750 x4

---

# 18
Here is BaGa3Os after structural relaxation from Alexandria. Energies are from PBE.

Polymorph energy (0 for the lowest one): 347.9 meV/atom
E_tot: -0.165 hartree per atom
Formation enthalpy at 0 K: -50 meV per atom

a = 13.572 Å, b = 9.745 Å, c = 6.872 Å
α = 90.00°, β = 103.72°, γ = 90.00°
Space group C2/c (No. 15)
Unique sites:
Ba  0.000  0.022  0.250 x4
Ba  0.000  0.345  0.750 x4
Ga  0.177  0.494  0.086 x8
Ga  0.191  0.165  0.592 x8
Ga  0.192  0.179  0.095 x8
Os  0.092  0.335  0.302 x8

---

# 19
Here is Ho3Tl3Zn after structural relaxation from Alexandria. Energies are from PBE.

E_tot: -0.126 hartree per atom
Formation enthalpy at 0 K: -281 meV per atom

a = 11.284 Å, b = 4.578 Å, c = 14.998 Å
α = 90.00°, β = 108.89°, γ = 90.00°
Space group C2/m (No. 12)
Unique sites:
Ho  0.029  0.000  0.380 x4
Ho  0.097  0.000  0.920 x4
Ho  0.235  0.000  0.226 x4
Tl  0.014  0.500  0.233 x4
Tl  0.129  0.500  0.075 x4
Tl  0.145  0.500  0.539 x4
Zn  0.243  0.500  0.374 x4

---

# 20
Here is TlBiSe after structural relaxation from Alexandria. Energies are from PBE.

Uncorrected formation energy: -0.079 eV per atom
Polymorph energy (0 for the lowest one): 133.0 meV/atom
E_tot: -0.122 hartree per atom

a = 3.8187 Å, b = 3.8187 Å, c = 7.1269 Å
α = 90.00°, β = 90.00°, γ = 120.00°
Space group P3m1 (No. 156)
Unique sites:
Tl  0.0000  0.0000  0.0000 x1
Bi  0.3333  0.6667  0.5866 x1
Se  0.6667  0.3333  0.3110 x1

---

# 21
Here is GaHgB after structural relaxation from Alexandria. Energies are from PBE.

E_tot: -0.113 hartree per atom
Formation enthalpy at 0 K: 266 meV per atom

a = 3.128 Å, b = 6.041 Å, c = 6.074 Å
α = 90.53°, β = 104.91°, γ = 104.95°
Space group P-1 (No. 2)
Unique sites:
Ga  0.160  0.189  0.130 x2
Hg  0.429  0.253  0.598 x2
B  0.285  0.551  0.020 x2

---

# 22
Here is NdPaGaAu after structural relaxation from Alexandria. Energies are from PBE.

E_tot: -0.199 hartree per atom
Formation enthalpy at 0 K: -269 meV per atom

a = 7.333 Å, b = 7.333 Å, c = 7.333 Å
α = 90.00°, β = 90.00°, γ = 90.00°
Space group F-43m (No. 216)
Unique sites:
Nd  0.000  0.000  0.000 x4
Pa  0.000  0.000  0.500 x4
Ga  0.250  0.250  0.750 x4
Au  0.250  0.250  0.250 x4